1.
{
  "formula": "BaTi2V",
  "functional": "GGA-PBE",
  "state": "relaxed",
  "cell": [[-2.813, 1.308, 0.725], [-0.677, -2.492, 1.866], [3.770, 4.224, 7.009]],
  "species": ["Ti", "Ti", "Ba", "V"],
  "fractional_positions": [[0.500, 0.500, 0.840], [0.500, 0.500, 0.160], [0.000, 0.000, 0.500], [0.000, 0.000, 0.000]],
  "final_energy_ev_per_atom": -6.26,
  "e_above_lowest_polymorph_ev_per_atom": 0.178
}

=====

2.
{
  "formula": "RbMg14Cr",
  "functional": "GGA-PBE",
  "state": "relaxed",
  "cell": [[3.257, -5.641, 0.000], [3.257, 5.641, 0.000], [0.000, 0.000, 10.680]],
  "species": ["Rb", "Mg", "Mg", "Mg", "Mg", "Mg", "Mg", "Mg", "Mg", "Mg", "Mg", "Mg", "Mg", "Mg", "Mg", "Cr"],
  "fractional_positions": [[0.000, 0.000, 0.000], [0.010, 0.505, 0.000], [0.992, 0.496, 0.500], [0.495, 0.990, 0.000], [0.504, 0.008, 0.500], [0.495, 0.505, 0.000], [0.504, 0.496, 0.500], [0.168, 0.832, 0.271], [0.168, 0.832, 0.729], [0.168, 0.336, 0.271], [0.168, 0.336, 0.729], [0.664, 0.832, 0.271], [0.664, 0.832, 0.729], [0.667, 0.333, 0.240], [0.667, 0.333, 0.760], [0.000, 0.000, 0.500]],
  "final_energy_ev_per_atom": -1.85,
  "e_above_lowest_polymorph_ev_per_atom": 0.000
}

=====

| no. | E_form (meV/atom) |
| --- | --- |
| 1 | 452 |
| 2 | 204 |